! Ca3Ga3Ni (PBE, relaxed); values from VASP
! Energy of formation, meV per atom: -447
! Calculated density, Mg/m³: 3.93
! Magnetization, μB per atom: 0.000
! SG: C2/m, No. 12
&SYSTEM
  ibrav = 0, nat = 14, ntyp = 3
/
ATOMIC_SPECIES
Ca 40.08 Ca.upf
Ni 58.69 Ni.upf
Ga 69.72 Ga.upf
CELL_PARAMETERS angstrom
4.130 0.000 0.622
2.032 5.581 0.531
-0.032 0.092 14.231
ATOMIC_POSITIONS crystal
Ca 0.517 0.354 0.612
Ca 0.483 0.646 0.388
Ca 0.389 0.300 0.922
Ca 0.748 0.741 0.764
Ca 0.252 0.259 0.236
Ca 0.611 0.700 0.078
Ni 0.771 0.069 0.389
Ni 0.229 0.931 0.611
Ga 0.897 0.128 0.078
Ga 0.956 0.847 0.240
Ga 0.103 0.872 0.922
Ga 0.044 0.153 0.760
Ga 0.177 0.187 0.459
Ga 0.823 0.813 0.541

! CaGaNi (PBE, relaxed); values from VASP
! Energy of formation, meV per atom: -397
! Calculated density, Mg/m³: 4.93
! Magnetization, μB per atom: 0.000
! SG: Cmcm, No. 63
&SYSTEM
  ibrav = 0, nat = 6, ntyp = 3
/
ATOMIC_SPECIES
Ca 40.08 Ca.upf
Ga 69.72 Ga.upf
Ni 58.69 Ni.upf
CELL_PARAMETERS angstrom
4.025 0.000 0.000
0.000 5.449 0.000
-2.013 0.000 5.172
ATOMIC_POSITIONS crystal
Ca 0.286 0.250 0.072
Ca 0.714 0.750 0.928
Ga 0.000 0.500 0.500
Ga 0.000 0.000 0.500
Ni 0.559 0.250 0.617
Ni 0.441 0.750 0.383

! Ca3Ga2Ni3 (PBE, relaxed); values from VASP
! Energy of formation, meV per atom: -357
! Calculated density, Mg/m³: 4.47
! Magnetization, μB per atom: 0.000
! SG: Pnma, No. 62
&SYSTEM
  ibrav = 0, nat = 32, ntyp = 3
/
ATOMIC_SPECIES
Ni 58.69 Ni.upf
Ga 69.72 Ga.upf
Ca 40.08 Ca.upf
CELL_PARAMETERS angstrom
-4.825 3.306 -0.274
-0.773 -0.497 7.615
8.036 11.861 1.589
ATOMIC_POSITIONS crystal
Ni 0.097 0.154 0.539
Ni 0.097 0.154 0.961
Ni 0.938 0.812 0.750
Ni 0.597 0.346 0.039
Ni 0.903 0.846 0.461
Ni 0.438 0.688 0.250
Ni 0.403 0.654 0.539
Ni 0.903 0.846 0.039
Ni 0.403 0.654 0.961
Ni 0.597 0.346 0.461
Ni 0.562 0.312 0.750
Ni 0.062 0.188 0.250
Ga 0.864 0.138 0.098
Ga 0.636 0.638 0.098
Ga 0.364 0.362 0.902
Ga 0.136 0.862 0.902
Ga 0.136 0.862 0.598
Ga 0.364 0.362 0.598
Ga 0.636 0.638 0.402
Ga 0.864 0.138 0.402
Ca 0.606 0.340 0.250
Ca 0.643 0.019 0.606
Ca 0.857 0.519 0.606
Ca 0.643 0.019 0.894
Ca 0.143 0.481 0.394
Ca 0.357 0.981 0.106
Ca 0.357 0.981 0.394
Ca 0.894 0.840 0.250
Ca 0.106 0.160 0.750
Ca 0.143 0.481 0.106
Ca 0.857 0.519 0.894
Ca 0.394 0.660 0.750